## Pr5Dy2Y12 (PBE)

Data for a relaxed Pr5Dy2Y12 crystal.

Structure (CIF):
```
data_Pr5Dy2Y12
_chemical_formula_sum 'Pr10 Dy4 Y24'
_cell_length_a 17.918
_cell_length_b 9.227
_cell_length_c 8.750
_cell_angle_alpha 90.00
_cell_angle_beta 115.98
_cell_angle_gamma 90.00
_symmetry_space_group_name_H-M 'C 1 2/m 1'
_symmetry_Int_Tables_number 12
loop_
_symmetry_equiv_pos_as_xyz
'x,y,z'
'-x,-y,-z'
'-x,y,-z'
'x,-y,z'
'x+1/2,y+1/2,z'
'-x+1/2,-y+1/2,-z'
'-x+1/2,y+1/2,-z'
'x+1/2,-y+1/2,z'
loop_
_atom_site_label
_atom_site_fract_x
_atom_site_fract_y
_atom_site_fract_z
Pr1 0.000 0.000 0.000
Pr2 0.213 0.500 0.725
Pr3 0.237 0.000 0.796
Dy1 0.000 0.328 0.500
Y1 0.046 0.000 0.682
Y2 0.063 0.500 0.220
Y3 0.126 0.278 0.955
Y4 0.145 0.184 0.410
```

Values from the calculation:
Formation energy from the elements ... 0.21 eV per atom
Size of the total moment ... 0.000 μB per atom
Density ... 5.4 g/cm3
Relative energy among the computed polymorphs ... 0.100 eV per atom
Electronic total energy ... -5.617 eV/atom


## Dy3Al9Co2 (PBE)

Data for a relaxed Dy3Al9Co2 crystal.

Structure (CIF):
```
data_Dy3Al9Co2
_chemical_formula_sum 'Dy6 Al18 Co4'
_cell_length_a 4.272
_cell_length_b 9.664
_cell_length_c 12.121
_cell_angle_alpha 90.00
_cell_angle_beta 90.00
_cell_angle_gamma 90.00
_symmetry_space_group_name_H-M 'I m m m'
_symmetry_Int_Tables_number 71
_symmetry_space_group_name_Hall '-I 2 2'
loop_
_atom_site_label
_atom_site_fract_x
_atom_site_fract_y
_atom_site_fract_z
Dy1 0.000 0.000 0.000
Dy2 0.000 0.000 0.301
Al1 0.000 0.284 0.125
Al2 0.000 0.360 0.352
Al3 0.000 0.500 0.000
Co1 0.000 0.179 0.500
```

Values from the calculation:
Formation energy from the elements ... -0.48 eV per atom
Size of the total moment ... 0.000 μB per atom
Density ... 5.6 g/cm3
Electronic total energy ... -4.885 eV/atom


## CrIr2Se (PBE)

Data for a relaxed CrIr2Se crystal.

Structure (CIF):
```
data_CrIr2Se
_chemical_formula_sum 'Cr2 Ir4 Se2'
_cell_length_a 2.792
_cell_length_b 4.815
_cell_length_c 9.228
_cell_angle_alpha 90.00
_cell_angle_beta 90.00
_cell_angle_gamma 90.00
_symmetry_space_group_name_H-M 'C m m m'
_symmetry_Int_Tables_number 65
_symmetry_space_group_name_Hall '-C 2 2'
loop_
_atom_site_label
_atom_site_fract_x
_atom_site_fract_y
_atom_site_fract_z
Cr1 0.000 0.000 0.000
Ir1 0.000 0.500 0.225
Se1 0.000 0.000 0.500
```

Values from the calculation:
Size of the total moment ... 0.581 μB per atom
Density ... 13.8 g/cm3
Electronic total energy ... -7.290 eV/atom
Energy relative to the elements, uncorrected ... 0.417 eV/atom


## NaAsRh2Cl (PBE)

Data for a relaxed NaAsRh2Cl crystal.

Structure (CIF):
```
data_NaAsRh2Cl
_chemical_formula_sum 'Na1 As1 Rh2 Cl1'
_cell_length_a 4.823
_cell_length_b 4.823
_cell_length_c 4.417
_cell_angle_alpha 90.00
_cell_angle_beta 90.00
_cell_angle_gamma 90.00
_symmetry_space_group_name_H-M 'P 4/m m m'
_symmetry_Int_Tables_number 123
_symmetry_space_group_name_Hall '-P 4 2'
loop_
_atom_site_label
_atom_site_fract_x
_atom_site_fract_y
_atom_site_fract_z
Na1 0.000 0.000 0.000
As1 0.500 0.500 0.500
Rh1 0.000 0.500 0.000
Cl1 0.000 0.000 0.500
```

Values from the calculation:
Size of the total moment ... 0.197 μB per atom
Density ... 5.5 g/cm3
Relative energy among the computed polymorphs ... 0.836 eV per atom
Electronic total energy ... -3.245 eV/atom
Energy relative to the elements, uncorrected ... 1.259 eV/atom


## Ac6Tl2Fe (PBE)

Data for a relaxed Ac6Tl2Fe crystal.

Structure (CIF):
```
data_Ac6Tl2Fe
_chemical_formula_sum 'Ac12 Tl4 Fe2'
_cell_length_a 7.825
_cell_length_b 7.754
_cell_length_c 13.445
_cell_angle_alpha 90.00
_cell_angle_beta 125.20
_cell_angle_gamma 90.00
_symmetry_space_group_name_H-M 'P 1 21/c 1'
_symmetry_Int_Tables_number 14
loop_
_symmetry_equiv_pos_as_xyz
'x,y,z'
'-x,-y,-z'
'-x,y+1/2,-z+1/2'
'x,-y+1/2,z+1/2'
loop_
_atom_site_label
_atom_site_fract_x
_atom_site_fract_y
_atom_site_fract_z
Ac1 0.185 0.001 0.248
Ac2 0.253 0.729 0.031
Ac3 0.302 0.228 0.031
Tl1 0.259 0.020 0.754
Fe1 0.000 0.000 0.000
```

Values from the calculation:
Formation energy from the elements ... -0.12 eV per atom
Size of the total moment ... 0.000 μB per atom
Density ... 9.1 g/cm3
Electronic total energy ... -4.321 eV/atom


## LaSnI (PBE)

Data for a relaxed LaSnI crystal.

Structure (CIF):
```
data_LaSnI
_chemical_formula_sum 'La4 Sn4 I4'
_cell_length_a 4.462
_cell_length_b 4.462
_cell_length_c 19.770
_cell_angle_alpha 90.00
_cell_angle_beta 90.00
_cell_angle_gamma 90.00
_symmetry_space_group_name_H-M 'I 4/m m m'
_symmetry_Int_Tables_number 139
_symmetry_space_group_name_Hall '-I 4 2'
loop_
_atom_site_label
_atom_site_fract_x
_atom_site_fract_y
_atom_site_fract_z
La1 0.000 0.000 0.122
Sn1 0.000 0.500 0.000
I1 0.000 0.000 0.312
```

Values from the calculation:
Size of the total moment ... 0.000 μB per atom
Density ... 6.5 g/cm3
Electronic total energy ... -4.582 eV/atom
Energy relative to the elements, uncorrected ... -1.089 eV/atom


## CdRh2Cl (PBE)

Data for a relaxed CdRh2Cl crystal.

Structure (CIF):
```
data_CdRh2Cl
_chemical_formula_sum 'Cd1 Rh2 Cl1'
_cell_length_a 2.994
_cell_length_b 2.994
_cell_length_c 7.229
_cell_angle_alpha 90.00
_cell_angle_beta 90.00
_cell_angle_gamma 90.00
_symmetry_space_group_name_H-M 'P 4/m m m'
_symmetry_Int_Tables_number 123
_symmetry_space_group_name_Hall '-P 4 2'
loop_
_atom_site_label
_atom_site_fract_x
_atom_site_fract_y
_atom_site_fract_z
Cd1 0.000 0.000 0.000
Rh1 0.500 0.500 0.267
Cl1 0.000 0.000 0.500
```

Values from the calculation:
Size of the total moment ... 0.000 μB per atom
Density ... 9.1 g/cm3
Relative energy among the computed polymorphs ... 0.292 eV per atom
Electronic total energy ... -4.057 eV/atom
Energy relative to the elements, uncorrected ... 0.309 eV/atom


## HgRu2Pt (PBE)

Data for a relaxed HgRu2Pt crystal.

Structure (CIF):
```
data_HgRu2Pt
_chemical_formula_sum 'Hg1 Ru2 Pt1'
_cell_length_a 2.821
_cell_length_b 3.801
_cell_length_c 6.014
_cell_angle_alpha 90.00
_cell_angle_beta 90.00
_cell_angle_gamma 90.00
_symmetry_space_group_name_H-M 'P m m 2'
_symmetry_Int_Tables_number 25
loop_
_symmetry_equiv_pos_as_xyz
'x,y,z'
'-x,-y,z'
'-x,y,z'
'x,-y,z'
loop_
_atom_site_label
_atom_site_fract_x
_atom_site_fract_y
_atom_site_fract_z
Hg1 0.000 0.000 0.000
Ru1 0.000 0.000 0.523
Ru2 0.500 0.500 0.715
Pt1 0.500 0.500 0.272
```

Values from the calculation:
Formation energy from the elements ... 0.26 eV per atom
Size of the total moment ... 0.000 μB per atom
Density ... 15.4 g/cm3
Electronic total energy ... -5.968 eV/atom


## Ac6P3Se2S (PBE)

Data for a relaxed Ac6P3Se2S crystal.

Structure (CIF):
```
data_Ac6P3Se2S
_chemical_formula_sum 'Ac12 P6 Se4 S2'
_cell_length_a 19.372
_cell_length_b 4.424
_cell_length_c 8.886
_cell_angle_alpha 90.00
_cell_angle_beta 103.71
_cell_angle_gamma 90.00
_symmetry_space_group_name_H-M 'C 1 2/m 1'
_symmetry_Int_Tables_number 12
loop_
_symmetry_equiv_pos_as_xyz
'x,y,z'
'-x,-y,-z'
'-x,y,-z'
'x,-y,z'
'x+1/2,y+1/2,z'
'-x+1/2,-y+1/2,-z'
'-x+1/2,y+1/2,-z'
'x+1/2,-y+1/2,z'
loop_
_atom_site_label
_atom_site_fract_x
_atom_site_fract_y
_atom_site_fract_z
Ac1 0.004 0.000 0.248
Ac2 0.163 0.500 0.093
Ac3 0.168 0.500 0.573
P1 0.000 0.500 0.000
P2 0.167 0.000 0.334
Se1 0.166 0.000 0.833
S1 0.000 0.500 0.500
```

Values from the calculation:
Size of the total moment ... 0.000 μB per atom
Density ... 7.4 g/cm3
Electronic total energy ... -6.097 eV/atom
Energy relative to the elements, uncorrected ... -1.765 eV/atom


## Mg2TlCr (PBE)

Data for a relaxed Mg2TlCr crystal.

Structure (CIF):
```
data_Mg2TlCr
_chemical_formula_sum 'Mg6 Tl3 Cr3'
_cell_length_a 3.2438
_cell_length_b 3.2438
_cell_length_c 29.4165
_cell_angle_alpha 90.00
_cell_angle_beta 90.00
_cell_angle_gamma 120.00
_symmetry_space_group_name_H-M 'R -3 m'
_symmetry_Int_Tables_number 166
_symmetry_space_group_name_Hall '-R 3 2"'
loop_
_atom_site_label
_atom_site_fract_x
_atom_site_fract_y
_atom_site_fract_z
Mg1 0.0000 0.0000 0.2443
Tl1 0.0000 0.0000 0.0000
Cr1 0.0000 0.0000 0.5000
```

Values from the calculation:
Formation energy from the elements ... 0.35 eV per atom
Size of the total moment ... 1.017 μB per atom
Density ... 5.7 g/cm3
Relative energy among the computed polymorphs ... 0.107 eV per atom
Electronic total energy ... -3.448 eV/atom


## La2YTm3Se6 (PBE)

Data for a relaxed La2YTm3Se6 crystal.

Structure (CIF):
```
data_La2YTm3Se6
_chemical_formula_sum 'La4 Y2 Tm6 Se12'
_cell_length_a 18.117
_cell_length_b 4.069
_cell_length_c 8.391
_cell_angle_alpha 90.00
_cell_angle_beta 105.08
_cell_angle_gamma 90.00
_symmetry_space_group_name_H-M 'C 1 2/m 1'
_symmetry_Int_Tables_number 12
loop_
_symmetry_equiv_pos_as_xyz
'x,y,z'
'-x,-y,-z'
'-x,y,-z'
'x,-y,z'
'x+1/2,y+1/2,z'
'-x+1/2,-y+1/2,-z'
'-x+1/2,y+1/2,-z'
'x+1/2,-y+1/2,z'
loop_
_atom_site_label
_atom_site_fract_x
_atom_site_fract_y
_atom_site_fract_z
La1 0.167 0.000 0.333
Y1 0.000 0.500 0.000
Tm1 0.000 0.500 0.500
Tm2 0.169 0.000 0.834
Se1 0.007 0.000 0.748
Se2 0.161 0.500 0.597
Se3 0.167 0.500 0.066
```

Values from the calculation:
Size of the total moment ... 0.000 μB per atom
Density ... 7.5 g/cm3
Electronic total energy ... -6.013 eV/atom
Energy relative to the elements, uncorrected ... -1.793 eV/atom


## Sb3SBr7 (PBE)

Data for a relaxed Sb3SBr7 crystal.

Structure (CIF):
```
data_Sb3SBr7
_chemical_formula_sum 'Sb3 S1 Br7'
_cell_length_a 8.1324
_cell_length_b 8.1324
_cell_length_c 7.1503
_cell_angle_alpha 90.00
_cell_angle_beta 90.00
_cell_angle_gamma 120.00
_symmetry_space_group_name_H-M 'P 3 m 1'
_symmetry_Int_Tables_number 156
loop_
_symmetry_equiv_pos_as_xyz
'x,y,z'
'-y,x-y,z'
'-x+y,-x,z'
'-y,-x,z'
'-x+y,y,z'
'x,x-y,z'
loop_
_atom_site_label
_atom_site_fract_x
_atom_site_fract_y
_atom_site_fract_z
Sb1 0.0118 0.5059 0.0000
S1 0.3333 0.6667 0.8055
Br1 0.1704 0.3409 0.2353
Br2 0.3353 0.1676 0.7755
Br3 0.6667 0.3333 0.2549
```

Values from the calculation:
Size of the total moment ... 0.000 μB per atom
Density ... 3.9 g/cm3
Relative energy among the computed polymorphs ... 0.005 eV per atom
Electronic total energy ... -3.104 eV/atom
Energy relative to the elements, uncorrected ... -0.540 eV/atom


## Cs2PrThS4 (PBE)

Data for a relaxed Cs2PrThS4 crystal.

Structure (CIF):
```
data_Cs2PrThS4
_chemical_formula_sum 'Cs2 Pr1 Th1 S4'
_cell_length_a 7.311
_cell_length_b 4.232
_cell_length_c 8.483
_cell_angle_alpha 90.00
_cell_angle_beta 106.66
_cell_angle_gamma 90.00
_symmetry_space_group_name_H-M 'P 1 2/m 1'
_symmetry_Int_Tables_number 10
loop_
_symmetry_equiv_pos_as_xyz
'x,y,z'
'-x,-y,-z'
'-x,y,-z'
'x,-y,z'
loop_
_atom_site_label
_atom_site_fract_x
_atom_site_fract_y
_atom_site_fract_z
Cs1 0.000 0.000 0.000
Cs2 0.500 0.500 0.000
Pr1 0.000 0.500 0.500
Th1 0.500 0.000 0.500
S1 0.239 0.000 0.689
S2 0.279 0.500 0.312
```

Values from the calculation:
Size of the total moment ... 0.000 μB per atom
Density ... 5.1 g/cm3
Electronic total energy ... -5.534 eV/atom
Energy relative to the elements, uncorrected ... -1.732 eV/atom


## Al2Re2Cl (PBE)

Data for a relaxed Al2Re2Cl crystal.

Structure (CIF):
```
data_Al2Re2Cl
_chemical_formula_sum 'Al4 Re4 Cl2'
_cell_length_a 5.114
_cell_length_b 5.114
_cell_length_c 7.345
_cell_angle_alpha 90.00
_cell_angle_beta 90.00
_cell_angle_gamma 90.00
_symmetry_space_group_name_H-M 'I 4/m m m'
_symmetry_Int_Tables_number 139
_symmetry_space_group_name_Hall '-I 4 2'
loop_
_atom_site_label
_atom_site_fract_x
_atom_site_fract_y
_atom_site_fract_z
Al1 0.000 0.500 0.250
Re1 0.000 0.000 0.157
Cl1 0.000 0.000 0.500
```

Values from the calculation:
Size of the total moment ... 0.000 μB per atom
Density ... 8.0 g/cm3
Relative energy among the computed polymorphs ... 0.331 eV per atom
Electronic total energy ... -6.206 eV/atom
Energy relative to the elements, uncorrected ... 0.639 eV/atom


## Ca2SbWSe (PBE)

Data for a relaxed Ca2SbWSe crystal.

Structure (CIF):
```
data_Ca2SbWSe
_chemical_formula_sum 'Ca2 Sb1 W1 Se1'
_cell_length_a 5.875
_cell_length_b 5.875
_cell_length_c 5.432
_cell_angle_alpha 90.00
_cell_angle_beta 90.00
_cell_angle_gamma 90.00
_symmetry_space_group_name_H-M 'P 4/m m m'
_symmetry_Int_Tables_number 123
_symmetry_space_group_name_Hall '-P 4 2'
loop_
_atom_site_label
_atom_site_fract_x
_atom_site_fract_y
_atom_site_fract_z
Ca1 0.000 0.500 0.000
Sb1 0.000 0.000 0.000
W1 0.500 0.500 0.500
Se1 0.000 0.000 0.500
```

Values from the calculation:
Size of the total moment ... 0.999 μB per atom
Density ... 4.1 g/cm3
Electronic total energy ... -3.928 eV/atom
Energy relative to the elements, uncorrected ... 0.984 eV/atom